*1*
Below is a relaxed HAu2O crystal, with properties calculated at the GGA-PBE level.

**Theoretical density**: 12.69 g/cm³
**N(E_F)**: 0.744 states/eV per atom

Cell: 5.818 5.818 5.818 Å, 131.69 131.69 70.72°
Atoms (fractional coordinates):
H 0.000 0.000 0.000
H 0.750 0.250 0.500
Au 0.060 0.625 0.935
Au 0.375 0.310 0.435
Au 0.690 0.125 0.065
Au 0.875 0.940 0.565
O 0.250 0.750 0.500
O 0.500 0.500 0.000

---

*2*
Below is a relaxed HAu2O crystal, with properties calculated at the GGA-PBE level.

**Theoretical density**: 13.85 g/cm³
**N(E_F)**: 1.204 states/eV per atom

Cell: 4.115 4.115 4.115 Å, 60.00 60.00 60.00°
Atoms (fractional coordinates):
H 0.000 0.000 0.000
Au 0.250 0.250 0.250
Au 0.750 0.750 0.750
O 0.500 0.500 0.500

---

Which of them is the least stable? Correct choice: *2*.